[1]
# PrPuRh4

A relaxed PrPuRh4 crystal (PBE, the Alexandria database).

Output
Density of states at the Fermi level = 2.304 states/eV per atom
Crystal system = cubic
ΔE_f = -537 meV per atom
Space group = F-43m

Unit cell a=5.3892 b=5.3892 c=5.3892 alpha=60.00 beta=60.00 gamma=60.00
Last column: magnetic moment on the atom in μB.
Element x y z (fractional)
Rh  0.6253  0.1240  0.6253  -0.14
Rh  0.6253  0.6253  0.6253  -0.14
Rh  0.6253  0.6253  0.1240  -0.14
Rh  0.1240  0.6253  0.6253  -0.14
Pr  0.2500  0.2500  0.2500  0.10
Pu  0.0000  0.0000  0.0000  5.10

=====

[2]
# PrPu5Rh6

A relaxed PrPu5Rh6 crystal (PBE, the Alexandria database).

Output
Density of states at the Fermi level = 4.287 states/eV per atom
Crystal system = orthorhombic
ΔE_f = -403 meV per atom
Space group = Immm

Unit cell a=4.8468 b=6.9286 c=8.4733 alpha=114.13 beta=106.62 gamma=90.00
Last column: magnetic moment on the atom in μB.
Element x y z (fractional)
Pr  0.0000  0.0000  0.0000  0.01
Pu  0.3308  0.3308  0.6616  -4.89
Pu  0.0000  0.5000  0.0000  -4.98
Pu  0.3350  0.8350  0.6701  4.95
Pu  0.6650  0.1650  0.3299  4.95
Pu  0.6692  0.6692  0.3384  -4.89
Rh  0.8259  0.0811  0.6518  0.06
Rh  0.5000  0.7285  0.0000  0.13
Rh  0.1741  0.4293  0.3482  0.06
Rh  0.1741  0.9189  0.3482  0.06
Rh  0.5000  0.2715  0.0000  0.13
Rh  0.8259  0.5707  0.6518  0.06

=====

[3]
# Pr5PuRh4

A relaxed Pr5PuRh4 crystal (PBE, the Alexandria database).

Output
Density of states at the Fermi level = 1.341 states/eV per atom
Crystal system = monoclinic
ΔE_f = -482 meV per atom
Space group = C2/m

Unit cell a=4.3498 b=7.4304 c=9.8790 alpha=119.01 beta=102.72 gamma=90.00
Last column: magnetic moment on the atom in μB.
Element x y z (fractional)
Rh  0.0071  0.7909  0.0142  -0.18
Rh  0.9929  0.2091  0.9858  -0.18
Rh  0.6443  0.9823  0.2885  -0.04
Rh  0.3557  0.0177  0.7115  -0.04
Pu  0.5000  0.0000  0.0000  4.80
Pr  0.1614  0.2660  0.3229  0.00
Pr  0.8242  0.2188  0.6484  0.02
Pr  0.8386  0.7340  0.6771  0.00
Pr  0.1758  0.7812  0.3516  0.02
Pr  0.5000  0.5000  0.0000  0.01

=====

[4]
# Pr2PuRh2

A relaxed Pr2PuRh2 crystal (PBE, the Alexandria database).

Output
Energy relative to the lowest polymorph listed for this composition = 0.00 eV per formula unit
Density of states at the Fermi level = 1.771 states/eV per atom
Crystal system = monoclinic
ΔE_f = -526 meV per atom
Space group = C2/c

Unit cell a=6.1248 b=6.1248 c=7.8533 alpha=79.67 beta=79.67 gamma=59.28
Last column: magnetic moment on the atom in μB.
Element x y z (fractional)
Pu  0.8795  0.1205  0.7500  5.12
Pu  0.1205  0.8795  0.2500  5.12
Rh  0.0071  0.2700  0.9927  -0.12
Rh  0.2700  0.0071  0.4927  -0.12
Rh  0.9929  0.7300  0.0073  -0.12
Rh  0.7300  0.9929  0.5073  -0.12
Pr  0.4730  0.2253  0.1496  0.13
Pr  0.7747  0.5270  0.3504  0.13
Pr  0.2253  0.4730  0.6496  0.13
Pr  0.5270  0.7747  0.8504  0.13

=====

[5]
# PrPu2Rh

A relaxed PrPu2Rh crystal (PBE, the Alexandria database).

Output
Energy relative to the lowest polymorph listed for this composition = 1.24 eV per formula unit
Density of states at the Fermi level = 4.221 states/eV per atom
Crystal system = trigonal
ΔE_f = 94 meV per atom
Space group = R-3m

Unit cell a=3.5871 b=3.5871 c=10.4105 alpha=80.08 beta=80.08 gamma=60.00
Last column: magnetic moment on the atom in μB.
Element x y z (fractional)
Rh  0.5000  0.5000  0.5000  -0.32
Pu  0.8940  0.8940  0.3181  5.41
Pu  0.1060  0.1060  0.6819  5.41
Pr  0.0000  0.0000  0.0000  0.08

=====

[6]
# PrPu3Rh3

A relaxed PrPu3Rh3 crystal (PBE, the Alexandria database).

Output
Density of states at the Fermi level = 3.189 states/eV per atom
Crystal system = cubic
ΔE_f = 202 meV per atom
Space group = Pm-3n

Unit cell a=7.4040 b=7.4040 c=7.4040 alpha=90.00 beta=90.00 gamma=90.00
Last column: magnetic moment on the atom in μB.
Element x y z (fractional)
Rh  0.5000  0.7500  0.0000  0.20
Rh  0.0000  0.5000  0.7500  0.20
Rh  0.5000  0.2500  0.0000  0.20
Rh  0.7500  0.0000  0.5000  0.20
Rh  0.0000  0.5000  0.2500  0.20
Rh  0.2500  0.0000  0.5000  0.20
Pu  0.2500  0.5000  0.0000  -5.14
Pu  0.7500  0.5000  0.0000  -5.14
Pu  0.5000  0.0000  0.7500  -5.14
Pu  0.0000  0.7500  0.5000  -5.14
Pu  0.0000  0.2500  0.5000  -5.14
Pu  0.5000  0.0000  0.2500  -5.14
Pr  0.5000  0.5000  0.5000  -0.30
Pr  0.0000  0.0000  0.0000  -0.30

=====

[7]
# PrPu2Rh9

A relaxed PrPu2Rh9 crystal (PBE, the Alexandria database).

Output
Density of states at the Fermi level = 2.178 states/eV per atom
Crystal system = trigonal
ΔE_f = -411 meV per atom
Space group = R-3m

Unit cell a=5.2903 b=5.2903 c=9.2806 alpha=73.44 beta=73.44 gamma=60.00
Last column: magnetic moment on the atom in μB.
Element x y z (fractional)
Rh  0.6666  0.6666  0.0001  -0.18
Rh  0.5855  0.5855  0.7482  -0.24
Rh  0.5855  0.0808  0.7482  -0.24
Rh  0.0808  0.5855  0.7482  -0.24
Rh  0.3334  0.3334  0.9999  -0.18
Rh  0.4145  0.4145  0.2518  -0.24
Rh  0.9192  0.4145  0.2518  -0.24
Rh  0.4145  0.9192  0.2518  -0.24
Rh  0.5000  0.5000  0.5000  -0.32
Pu  0.1403  0.1403  0.5792  4.96
Pu  0.8597  0.8597  0.4208  4.96
Pr  0.0000  0.0000  0.0000  0.07

=====

[8]
# PrPu2Rh

A relaxed PrPu2Rh crystal (PBE, the Alexandria database).

Output
Energy relative to the lowest polymorph listed for this composition = 0.00 eV per formula unit
Density of states at the Fermi level = 3.547 states/eV per atom
Crystal system = orthorhombic
ΔE_f = -215 meV per atom
Space group = Pnma

Unit cell a=6.0351 b=9.6255 c=14.6884 alpha=90.00 beta=90.00 gamma=90.00
Last column: magnetic moment on the atom in μB.
Element x y z (fractional)
Rh  0.0144  0.2500  0.0712  -0.22
Rh  0.2680  0.2500  0.3207  -0.22
Rh  0.5144  0.7500  0.4288  -0.22
Rh  0.4856  0.2500  0.5712  -0.22
Rh  0.7680  0.7500  0.1793  -0.22
Rh  0.9856  0.7500  0.9288  -0.22
Rh  0.7320  0.7500  0.6793  -0.22
Rh  0.2320  0.2500  0.8207  -0.22
Pu  0.9563  0.5584  0.7864  5.44
Pu  0.0437  0.0584  0.2136  5.44
Pu  0.7447  0.9427  0.5366  5.48
Pu  0.2553  0.0573  0.4634  5.48
Pu  0.0437  0.4416  0.2136  5.44
Pu  0.7553  0.5573  0.0366  5.48
Pu  0.4563  0.0584  0.7136  5.44
Pu  0.5437  0.5584  0.2864  5.44
Pu  0.5437  0.9416  0.2864  5.44
Pu  0.2553  0.4427  0.4634  5.48
Pu  0.4563  0.4416  0.7136  5.44
Pu  0.2447  0.4427  0.9634  5.48
Pu  0.7447  0.5573  0.5366  5.48
Pu  0.9563  0.9416  0.7864  5.44
Pu  0.7553  0.9427  0.0366  5.48
Pu  0.2447  0.0573  0.9634  5.48
Pr  0.0330  0.7500  0.3570  0.17
Pr  0.7415  0.2500  0.8924  0.17
Pr  0.7585  0.2500  0.3924  0.17
Pr  0.5330  0.2500  0.1430  0.17
Pr  0.2415  0.7500  0.6076  0.17
Pr  0.4670  0.7500  0.8570  0.17
Pr  0.9670  0.2500  0.6430  0.17
Pr  0.2585  0.7500  0.1076  0.17